[1]
The following is a DFT calculation (PBE) of crystalline YTaVCl2 at its relaxed geometry.

```
5
Lattice="4.739 0.000 0.000 0.000 5.367 0.000 0.000 0.000 4.739" Properties=species:S:1:pos:R:3 pbc="T T T"
Cl 2.369 0.000 0.000
Cl 0.000 0.000 2.369
Ta 0.000 0.000 0.000
Y 2.369 2.683 2.369
V 0.000 2.683 0.000
```

Summary:
E_tot = -29.3 eV for the cell shown
DOS(E_F) = 0.81 states/eV per atom
Space group = No. 123
Formation energy from raw total energies = 370 meV/atom

=====

[2]
The following is a DFT calculation (PBE) of crystalline Y2TaVCl at its relaxed geometry.

```
5
Lattice="5.658 0.000 0.000 0.000 4.564 0.000 0.000 0.000 5.658" Properties=species:S:1:pos:R:3 pbc="T T T"
V 2.829 2.282 2.829
Ta 0.000 0.000 0.000
Y 0.000 0.000 2.829
Y 2.829 0.000 0.000
Cl 0.000 2.282 0.000
```

Summary:
E_tot = -29.9 eV for the cell shown
DOS(E_F) = 2.40 states/eV per atom
Space group = No. 123
Formation energy from raw total energies = 1175 meV/atom